## PaNi2AsO8 (PBE+U)

Data for a relaxed structure of PaNi2AsO8.

Lattice parameters (Å, degrees): 4.601 4.600 6.532 90.00 90.00 90.06
Fractional coordinates of all 12 atoms:
O  0.687  0.687  0.500
O  0.715  0.715  0.000
O  0.190  0.810  0.788
O  0.313  0.313  0.500
O  0.285  0.285  0.000
O  0.190  0.810  0.212
O  0.810  0.190  0.788
O  0.810  0.190  0.212
Ni  0.500  0.500  0.771
Ni  0.500  0.500  0.229
Pa  0.000  0.000  0.500
As  0.000  0.000  0.000

Properties
symmetry	Cmmm (65)
E	-0.238	hartree per atom
M_tot	4.62	μB/f.u.
DOS(E_F)	5.3	states/eV/f.u.